Below is NaZrH2O after structural relaxation, with properties calculated at the GGA-PBEsol level.

## Properties
As for the crystal system: tetragonal. As for the total energy: -0.1525 hartree per atom.

Unit cell a=3.596 b=3.596 c=6.089 alpha=90.00 beta=90.00 gamma=90.00
Atoms (fractional coordinates):
Na 0.000 0.000 0.000
Zr 0.000 0.000 0.500
H 0.000 0.500 0.500
H 0.500 0.000 0.500
O 0.500 0.500 0.000

=====

Below is NaZr2HO after structural relaxation, with properties calculated at the GGA-PBEsol level.

## Properties
As for the crystal system: tetragonal. As for the total energy: -0.2164 hartree per atom.

Unit cell a=4.290 b=4.290 c=4.504 alpha=90.00 beta=90.00 gamma=90.00
Atoms (fractional coordinates):
Na 0.000 0.000 0.000
Zr 0.000 0.500 0.500
Zr 0.500 0.000 0.500
H 0.500 0.500 0.000
O 0.000 0.000 0.500

=====

Below is Na2HOs after structural relaxation, with properties calculated at the GGA-PBEsol level.

## Properties
As for the crystal system: tetragonal. As for the total energy: -0.1341 hartree per atom.

Unit cell a=7.082 b=7.082 c=7.082 alpha=93.13 beta=93.13 gamma=152.95
Atoms (fractional coordinates):
Na 0.375 0.039 0.164
Na 0.789 0.625 0.664
Na 0.875 0.211 0.836
Na 0.961 0.125 0.336
H 0.000 0.000 0.000
H 0.750 0.250 0.500
Os 0.250 0.750 0.500
Os 0.500 0.500 0.000

=====

Below is Na3H7Os after structural relaxation, with properties calculated at the GGA-PBEsol level.

## Properties
As for the crystal system: tetragonal. As for the total energy: -0.1424 hartree per atom.

Unit cell a=9.412 b=9.412 c=5.158 alpha=90.00 beta=90.00 gamma=90.00
Atoms (fractional coordinates):
Na 0.032 0.303 0.000
Na 0.117 0.883 0.500
Na 0.197 0.532 0.500
Na 0.303 0.032 0.000
Na 0.383 0.383 0.000
Na 0.468 0.803 0.500
Na 0.532 0.197 0.500
Na 0.617 0.617 0.000
Na 0.697 0.968 0.000
Na 0.803 0.468 0.500
Na 0.883 0.117 0.500
Na 0.968 0.697 0.000
H 0.065 0.324 0.500
H 0.101 0.101 0.298
H 0.101 0.101 0.702
H 0.174 0.826 0.000
H 0.176 0.565 0.000
H 0.241 0.241 0.196
H 0.241 0.241 0.804
H 0.259 0.741 0.304
H 0.259 0.741 0.696
H 0.324 0.065 0.500
H 0.326 0.326 0.500
H 0.399 0.601 0.202
H 0.399 0.601 0.798
H 0.435 0.824 0.000
H 0.565 0.176 0.000
H 0.601 0.399 0.202
H 0.601 0.399 0.798
H 0.674 0.674 0.500
H 0.676 0.935 0.500
H 0.741 0.259 0.304
H 0.741 0.259 0.696
H 0.759 0.759 0.196
H 0.759 0.759 0.804
H 0.824 0.435 0.000
H 0.826 0.174 0.000
H 0.899 0.899 0.298
H 0.899 0.899 0.702
H 0.935 0.676 0.500
Os 0.201 0.201 0.500
Os 0.299 0.701 0.000
Os 0.701 0.299 0.000
Os 0.799 0.799 0.500